Arrangement P

The following is a DFT calculation (GGA-PBE) of an optimized crystal structure of Li2CoMo.

```
data_Li2CoMo
_chemical_formula_sum 'Li4 Co2 Mo2'
_symmetry_space_group_name_H-M 'C 1 2/m 1'
_symmetry_Int_Tables_number 12
_cell_length_a 10.378
_cell_length_b 2.680
_cell_length_c 4.235
_cell_angle_alpha 90.00
_cell_angle_beta 113.77
_cell_angle_gamma 90.00
loop_
_symmetry_equiv_pos_as_xyz
'x,y,z'
'-x,-y,-z'
'-x,y,-z'
'x,-y,z'
'x+1/2,y+1/2,z'
'-x+1/2,-y+1/2,-z'
'-x+1/2,y+1/2,-z'
'x+1/2,-y+1/2,z'
loop_
_atom_site_label
_atom_site_fract_x
_atom_site_fract_y
_atom_site_fract_z
Li1 0.229 0.000 0.229
Co1 0.000 0.500 0.000
Mo1 0.000 0.000 0.500
```

As for the size of the total moment: 1.73 μB/cell.

Arrangement Q

The following is a DFT calculation (GGA-PBE) of an optimized crystal structure of Li2CoMo.

```
data_Li2CoMo
_chemical_formula_sum 'Li8 Co4 Mo4'
_symmetry_space_group_name_H-M 'F -4 3 m'
_symmetry_Int_Tables_number 216
_symmetry_space_group_name_Hall 'F -4 2 3'
_cell_length_a 5.810
_cell_length_b 5.810
_cell_length_c 5.810
_cell_angle_alpha 90.00
_cell_angle_beta 90.00
_cell_angle_gamma 90.00
loop_
_atom_site_label
_atom_site_fract_x
_atom_site_fract_y
_atom_site_fract_z
Li1 0.000 0.000 0.000
Li2 0.250 0.250 0.250
Co1 0.000 0.000 0.500
Mo1 0.250 0.250 0.750
```

As for the size of the total moment: 0.00 μB/cell.

arrangement P has the most favorable energy; the next structure is 0.018 eV/atom above.

Arrangement P

The following is a DFT calculation (GGA-PBE) of an optimized crystal structure of LiCoMo2.

```
data_LiCoMo2
_chemical_formula_sum 'Li2 Co2 Mo4'
_symmetry_space_group_name_H-M 'I 4/m m m'
_symmetry_Int_Tables_number 139
_symmetry_space_group_name_Hall '-I 4 2'
_cell_length_a 3.692
_cell_length_b 3.692
_cell_length_c 7.926
_cell_angle_alpha 90.00
_cell_angle_beta 90.00
_cell_angle_gamma 90.00
loop_
_atom_site_label
_atom_site_fract_x
_atom_site_fract_y
_atom_site_fract_z
Li1 0.000 0.000 0.000
Co1 0.000 0.000 0.500
Mo1 0.000 0.500 0.250
```

As for the size of the total moment: 2.21 μB/cell.

Arrangement Q

The following is a DFT calculation (GGA-PBE) of an optimized crystal structure of LiCoMo2.

```
data_LiCoMo2
_chemical_formula_sum 'Li3 Co3 Mo6'
_symmetry_space_group_name_H-M 'R -3 m'
_symmetry_Int_Tables_number 166
_symmetry_space_group_name_Hall '-R 3 2"'
_cell_length_a 2.6845
_cell_length_b 2.6845
_cell_length_c 28.0447
_cell_angle_alpha 90.00
_cell_angle_beta 90.00
_cell_angle_gamma 120.00
loop_
_atom_site_label
_atom_site_fract_x
_atom_site_fract_y
_atom_site_fract_z
Li1 0.0000 0.0000 0.0000
Co1 0.0000 0.0000 0.5000
Mo1 0.0000 0.0000 0.2428
```

As for the size of the total moment: 3.08 μB/cell.

Arrangement R

The following is a DFT calculation (GGA-PBE) of an optimized crystal structure of LiCoMo2.

```
data_LiCoMo2
_chemical_formula_sum 'Li2 Co2 Mo4'
_symmetry_space_group_name_H-M 'C m m m'
_symmetry_Int_Tables_number 65
_symmetry_space_group_name_Hall '-C 2 2'
_cell_length_a 3.321
_cell_length_b 4.034
_cell_length_c 8.590
_cell_angle_alpha 90.00
_cell_angle_beta 90.00
_cell_angle_gamma 90.00
loop_
_atom_site_label
_atom_site_fract_x
_atom_site_fract_y
_atom_site_fract_z
Li1 0.000 0.000 0.000
Co1 0.000 0.000 0.500
Mo1 0.000 0.500 0.277
```

As for the size of the total moment: 0.00 μB/cell.

Arrangement S

The following is a DFT calculation (GGA-PBE) of an optimized crystal structure of LiCoMo2.

```
data_LiCoMo2
_chemical_formula_sum 'Li1 Co1 Mo2'
_symmetry_space_group_name_H-M 'P 1 m 1'
_symmetry_Int_Tables_number 6
_cell_length_a 2.618
_cell_length_b 4.233
_cell_length_c 4.855
_cell_angle_alpha 90.00
_cell_angle_beta 96.75
_cell_angle_gamma 90.00
loop_
_symmetry_equiv_pos_as_xyz
'x,y,z'
'x,-y,z'
loop_
_atom_site_label
_atom_site_fract_x
_atom_site_fract_y
_atom_site_fract_z
Li1 0.000 0.000 0.000
Co1 0.084 0.500 0.730
Mo1 0.436 0.000 0.516
Mo2 0.641 0.500 0.215
```

As for the size of the total moment: 0.00 μB/cell.

arrangement S has the most favorable energy; the next structure is 0.057 eV/atom above.

Arrangement P

The following is a DFT calculation (GGA-PBE) of an optimized crystal structure of LiCoS2N.

```
data_LiCoS2N
_chemical_formula_sum 'Li1 Co1 S2 N1'
_symmetry_space_group_name_H-M 'P 4/m m m'
_symmetry_Int_Tables_number 123
_symmetry_space_group_name_Hall '-P 4 2'
_cell_length_a 4.749
_cell_length_b 4.749
_cell_length_c 3.354
_cell_angle_alpha 90.00
_cell_angle_beta 90.00
_cell_angle_gamma 90.00
loop_
_atom_site_label
_atom_site_fract_x
_atom_site_fract_y
_atom_site_fract_z
Li1 0.000 0.000 0.000
Co1 0.500 0.500 0.500
S1 0.000 0.500 0.500
N1 0.500 0.500 0.000
```

As for the size of the total moment: 0.25 μB/cell.

Arrangement Q

The following is a DFT calculation (GGA-PBE) of an optimized crystal structure of LiCoS2N.

```
data_LiCoS2N
_chemical_formula_sum 'Li1 Co1 S2 N1'
_symmetry_space_group_name_H-M 'P 4/m m m'
_symmetry_Int_Tables_number 123
_symmetry_space_group_name_Hall '-P 4 2'
_cell_length_a 4.414
_cell_length_b 4.414
_cell_length_c 3.434
_cell_angle_alpha 90.00
_cell_angle_beta 90.00
_cell_angle_gamma 90.00
loop_
_atom_site_label
_atom_site_fract_x
_atom_site_fract_y
_atom_site_fract_z
Li1 0.000 0.000 0.000
Co1 0.500 0.500 0.500
S1 0.000 0.500 0.000
N1 0.000 0.000 0.500
```

As for the size of the total moment: 2.54 μB/cell.

arrangement P has the most favorable energy; the next structure is 1.103 eV/atom above.